Entry 1:
! LaTa2Cd, single point on PBEsol structure, DFT SCAN; values from VASP
! Space-group type: Pmmm (47)
! Total energy: -204.1 eV per cell
! Total magnetization: 0.000 μB/f.u.
&SYSTEM
  ibrav = 0, nat = 4, ntyp = 3
/
ATOMIC_SPECIES
La 138.91 La.upf
Ta 180.95 Ta.upf
Cd 112.41 Cd.upf
CELL_PARAMETERS angstrom
3.1245 0.0000 0.0000
0.0000 4.0584 0.0000
0.0000 0.0000 6.8611
ATOMIC_POSITIONS crystal
La 0.0000 0.0000 0.0000
Ta 0.5000 0.5000 0.3010
Ta 0.5000 0.5000 0.6990
Cd 0.0000 0.0000 0.5000

Entry 2:
! LaTaCd, single point on PBEsol structure, DFT SCAN; values from VASP
! Space-group type: P-6m2 (187)
! Total energy: -138.7 eV per cell
! Total magnetization: 0.000 μB/f.u.
! Offset from the most stable computed form: 0 meV per atom
&SYSTEM
  ibrav = 0, nat = 3, ntyp = 3
/
ATOMIC_SPECIES
La 138.91 La.upf
Ta 180.95 Ta.upf
Cd 112.41 Cd.upf
CELL_PARAMETERS angstrom
5.1456 0.0000 0.0000
-2.5728 4.4562 0.0000
0.0000 0.0000 3.0139
ATOMIC_POSITIONS crystal
La 0.0000 0.0000 0.0000
Ta 0.3333 0.6667 0.5000
Cd 0.6667 0.3333 0.5000

Entry 3:
! LaCd2Tc, single point on PBEsol structure, DFT SCAN; values from VASP
! Space-group type: F-43m (216)
! Total energy: -550.6 eV per cell
! Total magnetization: 0.000 μB/f.u.
! Offset from the most stable computed form: 137 meV per atom
&SYSTEM
  ibrav = 0, nat = 16, ntyp = 3
/
ATOMIC_SPECIES
La 138.91 La.upf
Cd 112.41 Cd.upf
Tc 98.00 Tc.upf
CELL_PARAMETERS angstrom
6.9791 0.0000 0.0000
0.0000 6.9791 0.0000
0.0000 0.0000 6.9791
ATOMIC_POSITIONS crystal
La 0.0000 0.0000 0.0000
La 0.0000 0.5000 0.5000
La 0.5000 0.0000 0.5000
La 0.5000 0.5000 0.0000
Cd 0.0000 0.0000 0.5000
Cd 0.0000 0.5000 0.0000
Cd 0.2500 0.2500 0.2500
Cd 0.2500 0.7500 0.7500
Cd 0.5000 0.0000 0.0000
Cd 0.5000 0.5000 0.5000
Cd 0.7500 0.2500 0.7500
Cd 0.7500 0.7500 0.2500
Tc 0.2500 0.2500 0.7500
Tc 0.2500 0.7500 0.2500
Tc 0.7500 0.2500 0.2500
Tc 0.7500 0.7500 0.7500

Entry 4:
! LaCd2Tc, single point on PBEsol structure, DFT SCAN; values from VASP
! Space-group type: P4/mmm (123)
! Total energy: -138.1 eV per cell
! Total magnetization: 1.788 μB/f.u.
! Offset from the most stable computed form: 16 meV per atom
&SYSTEM
  ibrav = 0, nat = 4, ntyp = 3
/
ATOMIC_SPECIES
La 138.91 La.upf
Cd 112.41 Cd.upf
Tc 98.00 Tc.upf
CELL_PARAMETERS angstrom
3.1019 0.0000 0.0000
0.0000 3.1019 0.0000
0.0000 0.0000 8.6595
ATOMIC_POSITIONS crystal
La 0.0000 0.0000 0.0000
Cd 0.5000 0.5000 0.2931
Cd 0.5000 0.5000 0.7069
Tc 0.0000 0.0000 0.5000

Entry 5:
! LaCd2Tc, single point on PBEsol structure, DFT SCAN; values from VASP
! Space-group type: P4mm (99)
! Total energy: -138.2 eV per cell
! Total magnetization: 0.000 μB/f.u.
! Offset from the most stable computed form: 0 meV per atom
&SYSTEM
  ibrav = 0, nat = 4, ntyp = 3
/
ATOMIC_SPECIES
La 138.91 La.upf
Cd 112.41 Cd.upf
Tc 98.00 Tc.upf
CELL_PARAMETERS angstrom
3.4295 0.0000 0.0000
0.0000 3.4295 0.0000
0.0000 0.0000 7.4326
ATOMIC_POSITIONS crystal
La 0.0000 0.0000 0.0000
Cd 0.0000 0.0000 0.5715
Cd 0.5000 0.5000 0.3445
Tc 0.5000 0.5000 0.7631

Entry 6:
! LaCd2Tc, single point on PBEsol structure, DFT SCAN; values from VASP
! Space-group type: R-3m (166)
! Total energy: -412.5 eV per cell
! Total magnetization: 0.000 μB/f.u.
! Offset from the most stable computed form: 177 meV per atom
&SYSTEM
  ibrav = 0, nat = 12, ntyp = 3
/
ATOMIC_SPECIES
La 138.91 La.upf
Cd 112.41 Cd.upf
Tc 98.00 Tc.upf
CELL_PARAMETERS angstrom
2.9761 0.0000 0.0000
-1.4880 2.5773 0.0000
0.0000 0.0000 31.7819
ATOMIC_POSITIONS crystal
La 0.0000 0.0000 0.0000
La 0.3333 0.6667 0.6667
La 0.6667 0.3333 0.3333
Cd 0.0000 0.0000 0.2391
Cd 0.0000 0.0000 0.7609
Cd 0.3333 0.6667 0.4276
Cd 0.3333 0.6667 0.9058
Cd 0.6667 0.3333 0.0942
Cd 0.6667 0.3333 0.5724
Tc 0.0000 0.0000 0.5000
Tc 0.3333 0.6667 0.1667
Tc 0.6667 0.3333 0.8333